1.
A relaxed MgAlVRu crystal, computed with GGA-PBE.

Calculated values
- Size of the total moment: 0.00 μB/f.u.
- ΔE_f: -0.26 eV/atom

a = 4.348 Å, b = 4.348 Å, c = 4.348 Å
α = 60.00°, β = 60.00°, γ = 60.00°
Element x y z (fractional)
Mg  0.000  0.000  0.000
Al  0.250  0.250  0.250
V  0.750  0.750  0.750
Ru  0.500  0.500  0.500

---

2.
A relaxed Nd3Ho3Tl crystal, computed with GGA-PBE.

Calculated values
- Size of the total moment: 0.00 μB/f.u.
- ΔE_f: -0.07 eV/atom

a = 9.540 Å, b = 9.540 Å, c = 5.613 Å
α = 90.00°, β = 90.00°, γ = 120.00°
Element x y z (fractional)
Nd  0.107  0.633  0.250
Nd  0.367  0.474  0.250
Nd  0.474  0.107  0.750
Nd  0.526  0.893  0.250
Nd  0.633  0.526  0.750
Nd  0.893  0.367  0.750
Ho  0.059  0.824  0.750
Ho  0.176  0.235  0.750
Ho  0.235  0.059  0.250
Ho  0.765  0.941  0.750
Ho  0.824  0.765  0.250
Ho  0.941  0.176  0.250
Tl  0.333  0.667  0.750
Tl  0.667  0.333  0.250

---

3.
A relaxed K4Sm3ZrSe8 crystal, computed with GGA-PBE.

Calculated values
- Size of the total moment: 0.25 μB/f.u.
- Uncorrected formation energy: -1.63 eV per atom

a = 9.116 Å, b = 9.116 Å, c = 9.116 Å
α = 54.93°, β = 54.93°, γ = 54.93°
Element x y z (fractional)
K  0.000  0.000  0.000
K  0.000  0.500  0.500
K  0.500  0.000  0.500
K  0.500  0.500  0.000
Sm  0.000  0.000  0.500
Sm  0.000  0.500  0.000
Sm  0.500  0.000  0.000
Zr  0.500  0.500  0.500
Se  0.238  0.238  0.238
Se  0.252  0.727  0.727
Se  0.273  0.273  0.748
Se  0.273  0.748  0.273
Se  0.727  0.252  0.727
Se  0.727  0.727  0.252
Se  0.748  0.273  0.273
Se  0.762  0.762  0.762